AcRuS | PBE | relaxed

abc: 5.211 5.211 6.175
angles: 91.18 91.18 70.88
Element x y z (fractional)
Ru 0.427 0.427 0.655
Ac 0.815 0.815 0.718
S 0.174 0.174 0.790
S 0.826 0.826 0.210
Ru 0.573 0.573 0.345
Ac 0.185 0.185 0.282

Computed properties:
The theoretical density comes out at 7.55 g/cm3. As for the raw formation energy: -0.620 eV per atom. For the magnetic moment, the calculation gives 0.00 μB per formula unit. The density of states at the Fermi level comes out at 0.828 states/eV/atom.